1.
Below is a geometry-optimized Ce4HoTh3S8 structure, with properties calculated at the PBE-GGA level.

Calculated values
energy relative to the elements, uncorrected: -31.42 eV per formula unit

Unit cell a=8.044 b=8.015 c=8.038 alpha=120.04 beta=120.03 gamma=90.00
Site moments in Bohr magnetons follow the coordinates.
Fractional positions:
Ce  0.500  0.000  0.000  0.69
Ce  0.000  0.000  0.500  0.56
Ce  0.500  0.000  0.500  0.56
Ce  0.000  0.000  0.000  0.56
S  0.751  0.753  0.502  -0.01
S  0.249  0.247  0.498  -0.01
S  0.245  0.747  0.490  -0.01
S  0.755  0.253  0.510  -0.01
S  0.245  0.747  0.002  -0.01
S  0.243  0.253  0.998  -0.01
S  0.757  0.747  0.002  -0.01
S  0.755  0.253  0.998  -0.01
Th  0.500  0.500  0.000  0.02
Th  0.500  0.500  0.500  0.02
Th  0.000  0.500  0.500  0.02
Ho  0.000  0.500  0.000  0.00

***

2.
Below is a geometry-optimized Tb2PmPd structure, with properties calculated at the PBE-GGA level.

Calculated values
ΔH_f (0 K): -0.30 eV/atom

Unit cell a=3.865 b=3.865 c=9.551 alpha=78.33 beta=78.33 gamma=60.00
Fractional positions:
Tb  0.063  0.063  0.812
Tb  0.270  0.270  0.189
Pd  0.666  0.666  0.002
Pm  0.501  0.501  0.497

***

3.
Below is a geometry-optimized Dy2TmZn structure, with properties calculated at the PBE-GGA level.

Calculated values
ΔH_f (0 K): 0.03 eV/atom

Unit cell a=5.299 b=5.299 c=5.299 alpha=60.00 beta=60.00 gamma=60.00
Fractional positions:
Zn  0.500  0.500  0.500
Dy  0.750  0.750  0.750
Dy  0.250  0.250  0.250
Tm  0.000  0.000  0.000

***

4.
Below is a geometry-optimized Ba3Ga2RhO8 structure, with properties calculated at the PBE-GGA level.

Calculated values
energy relative to the elements, uncorrected: -27.19 eV per formula unit

Unit cell a=5.790 b=5.790 c=7.489 alpha=90.00 beta=90.00 gamma=120.00
Site moments in Bohr magnetons follow the coordinates.
Fractional positions:
O  0.161  0.839  0.330  0.06
O  0.839  0.679  0.670  0.06
O  0.667  0.333  0.008  0.00
O  0.839  0.161  0.670  0.06
O  0.321  0.161  0.670  0.06
O  0.161  0.321  0.330  0.06
O  0.333  0.667  0.992  0.00
O  0.679  0.839  0.330  0.06
Ga  0.667  0.333  0.771  -0.01
Ga  0.333  0.667  0.229  -0.01
Ba  0.667  0.333  0.338  0.00
Ba  0.000  0.000  0.000  0.01
Ba  0.333  0.667  0.662  0.00
Rh  0.000  0.000  0.500  0.60

***

5.
Below is a geometry-optimized GdSn2Hg structure, with properties calculated at the PBE-GGA level.

Calculated values
ΔH_f (0 K): -0.47 eV/atom

Unit cell a=4.491 b=4.757 c=4.757 alpha=90.00 beta=90.00 gamma=90.00
Site moments in Bohr magnetons follow the coordinates.
Fractional positions:
Gd  0.500  0.500  0.500  6.93
Hg  0.500  0.000  0.000  -0.01
Sn  0.000  0.000  0.500  -0.03
Sn  0.000  0.500  0.000  -0.03

***

6.
Below is a geometry-optimized NdAsS3 structure, with properties calculated at the PBE-GGA level.

Calculated values
energy relative to the elements, uncorrected: -5.07 eV per formula unit

Unit cell a=3.745 b=7.138 c=18.916 alpha=90.00 beta=90.00 gamma=90.00
Fractional positions:
Nd  0.750  0.280  0.690
Nd  0.250  0.220  0.190
Nd  0.750  0.780  0.810
Nd  0.250  0.720  0.310
S  0.750  0.631  0.425
S  0.750  0.460  0.924
S  0.250  0.869  0.925
S  0.250  0.532  0.751
S  0.250  0.040  0.424
S  0.750  0.968  0.251
S  0.250  0.369  0.575
S  0.750  0.131  0.075
S  0.250  0.032  0.749
S  0.750  0.960  0.576
S  0.250  0.540  0.076
S  0.750  0.468  0.249
As  0.250  0.790  0.500
As  0.250  0.290  0.000
As  0.750  0.210  0.500
As  0.750  0.710  0.000

***

7.
Below is a geometry-optimized CrMoN structure, with properties calculated at the PBE-GGA level.

Calculated values
energy relative to the elements, uncorrected: 0.30 eV per formula unit

Unit cell a=2.607 b=2.607 c=5.067 alpha=104.91 beta=104.91 gamma=90.00
Site moments in Bohr magnetons follow the coordinates.
Fractional positions:
Mo  0.013  0.013  0.026  -0.04
Cr  0.288  0.288  0.577  -0.57
N  0.698  0.698  0.397  0.05

***

8.
Below is a geometry-optimized Nb2SbMoPb structure, with properties calculated at the PBE-GGA level.

Calculated values
energy relative to the elements, uncorrected: 4.93 eV per formula unit

Unit cell a=4.970 b=5.109 c=4.970 alpha=90.00 beta=90.00 gamma=90.00
Fractional positions:
Nb  0.500  0.000  0.000
Nb  0.000  0.000  0.500
Mo  0.000  0.000  0.000
Sb  0.000  0.500  0.000
Pb  0.500  0.500  0.500

***

9.
Below is a geometry-optimized ErThTiIn structure, with properties calculated at the PBE-GGA level.

Calculated values
ΔH_f (0 K): 0.00 eV/atom

Unit cell a=5.316 b=5.316 c=5.316 alpha=60.00 beta=60.00 gamma=60.00
Site moments in Bohr magnetons follow the coordinates.
Fractional positions:
Ti  0.250  0.250  0.250  1.57
Th  0.000  0.000  0.000  0.28
Er  0.500  0.500  0.500  0.26
In  0.750  0.750  0.750  -0.04

***

10.
Below is a geometry-optimized TeOsCl2 structure, with properties calculated at the PBE-GGA level.

Calculated values
energy relative to the elements, uncorrected: 4.64 eV per formula unit

Unit cell a=3.060 b=4.242 c=6.298 alpha=90.00 beta=90.00 gamma=90.00
Site moments in Bohr magnetons follow the coordinates.
Fractional positions:
Cl  0.000  0.000  0.474  0.07
Cl  0.000  0.000  0.026  0.07
Os  0.500  0.500  0.250  2.21
Te  0.500  0.500  0.750  -0.26

***

11.
Below is a geometry-optimized CsIn2Rh2 structure, with properties calculated at the PBE-GGA level.

Calculated values
ΔH_f (0 K): 0.02 eV/atom

Unit cell a=4.793 b=4.793 c=7.177 alpha=70.49 beta=70.49 gamma=90.00
Fractional positions:
Cs  0.000  0.000  0.000
Rh  0.750  0.250  0.500
Rh  0.250  0.750  0.500
In  0.336  0.336  0.328
In  0.664  0.664  0.672

***

12.
Below is a geometry-optimized Ba2PrSmS4 structure, with properties calculated at the PBE-GGA level.

Calculated values
energy relative to the elements, uncorrected: -16.15 eV per formula unit

Unit cell a=4.229 b=7.310 c=7.582 alpha=108.81 beta=90.00 gamma=90.00
Fractional positions:
S  0.000  0.255  0.780
S  0.500  0.765  0.782
S  0.000  0.745  0.220
S  0.500  0.235  0.218
Ba  0.000  0.500  0.500
Ba  0.500  0.000  0.500
Sm  0.000  0.000  0.000
Pr  0.500  0.500  0.000

***

Number 1: total moment 2.91 μB/f.u.. Number 2: total moment 0.00 μB/f.u.. Number 3: total moment 0.00 μB/f.u.. Number 4: total moment 1.07 μB/f.u.. Number 5: total moment 6.89 μB/f.u.. Number 6: total moment 0.00 μB/f.u.. Number 7: total moment 0.58 μB/f.u.. Number 8: total moment 0.00 μB/f.u.. Number 9: total moment 2.73 μB/f.u.. Number 10: total moment 2.14 μB/f.u.. Number 11: total moment 0.00 μB/f.u.. Number 12: total moment 0.00 μB/f.u..